# 1
Compound: Rb2Ga3AgAu4
Source: the Alexandria database
Functional: PBE
Structure: relaxed

SG = No. 115
formation energy from the elements = -5.0 kcal/mol of atoms
volume = 24.41 A^3/atom

Cell lengths 4.7620, 4.7620, 10.7636 Å; angles 90.00, 90.00, 90.00 degrees
Sites, in units of the cell vectors:
Ga  0.0000  0.0000  0.5000
Ag  0.5000  0.5000  0.5000
Ga  0.0000  0.5000  0.1135
Rb  0.5000  0.0000  0.2508
Au  0.0000  0.0000  0.0000
Rb  0.0000  0.5000  0.7492
Au  0.5000  0.0000  0.6393
Ga  0.5000  0.0000  0.8865
Au  0.0000  0.5000  0.3607
Au  0.5000  0.5000  0.0000

---

# 2
Compound: Al2CrRh
Source: the Alexandria database
Functional: PBE
Structure: relaxed

SG = No. 216
excess energy over the best structure of this formula in the dataset = 0.2694 eV/atom
formation energy from the elements = -6.7 kcal/mol of atoms
volume = 14.15 A^3/atom

Cell lengths 4.3099, 4.3099, 4.3099 Å; angles 60.00, 60.00, 60.00 degrees
Each line ends with the local moment (μB).
Sites, in units of the cell vectors:
Rh  0.7500  0.7500  0.7500  0.33
Al  0.0000  0.0000  0.0000  -0.03
Al  0.2500  0.2500  0.2500  0.01
Cr  0.5000  0.5000  0.5000  2.58

---

# 3
Compound: Ca2As4Pd3Pt
Source: the Alexandria database
Functional: PBE
Structure: relaxed

SG = No. 115
formation energy from the elements = -16.7 kcal/mol of atoms
volume = 19.63 A^3/atom

Cell lengths 4.4174, 4.4174, 10.0594 Å; angles 90.00, 90.00, 90.00 degrees
Sites, in units of the cell vectors:
As  0.0000  0.5000  0.3697
Pt  0.5000  0.5000  0.5000
Ca  0.0000  0.5000  0.7475
As  0.5000  0.0000  0.6303
Pd  0.5000  0.0000  0.8731
As  0.0000  0.0000  0.0000
Pd  0.0000  0.5000  0.1269
Ca  0.5000  0.0000  0.2525
As  0.5000  0.5000  0.0000
Pd  0.0000  0.0000  0.5000